Entry 1:
LiHfAs2O6, optimized geometry, DFT GGA-PBE; crystal system = trigonal; formation energy from raw total energies = -1.92 eV/atom
1.0
-4.2609 1.9330 2.7212
-0.5198 -1.4004 -5.2026
1.4885 -6.5850 1.6233
O As Hf Li
6 2 1 1
direct
0.1491 0.3945 0.1070
0.5435 0.9712 0.7341
0.1767 0.2046 0.7340
0.3676 0.9721 0.1070
0.7769 0.5713 0.7341
0.7267 0.7536 0.1071
0.5721 0.2855 0.8436
0.5115 0.7552 0.2527
0.9751 0.9870 0.9480
0.1663 0.5827 0.7349

=====

Entry 2:
LiHfAsPt2, optimized geometry, DFT GGA-PBE; crystal system = tetragonal; ΔE_f = 0.013 eV/atom
1.0
-2.0689 -0.9165 4.1520
-1.6805 -3.5002 -1.6100
3.8085 -2.4525 1.3564
Pt As Hf Li
2 1 1 1
direct
0.0000 0.0000 0.5000
0.5000 0.0000 0.0000
0.0000 0.0000 0.0000
0.5000 0.5000 0.5000
0.0000 0.5000 0.0000

=====

Entry 3:
LiHfAs2Pt, optimized geometry, DFT GGA-PBE; crystal system = tetragonal; ΔE_f = 0.134 eV/atom
1.0
5.1290 0.0000 0.0000
0.0000 5.0703 0.0000
0.0000 0.0000 5.1290
Pt As Li Hf
1 2 1 1
direct
0.0000 0.5000 0.0000
0.0000 0.0000 0.5000
0.5000 0.0000 0.0000
0.5000 0.5000 0.5000
0.0000 0.0000 0.0000

=====

Please write out number 1 again, unchanged.
LiHfAs2O6, optimized geometry, DFT GGA-PBE; crystal system = trigonal; formation energy from raw total energies = -1.92 eV/atom
1.0
-4.2609 1.9330 2.7212
-0.5198 -1.4004 -5.2026
1.4885 -6.5850 1.6233
O As Hf Li
6 2 1 1
direct
0.1491 0.3945 0.1070
0.5435 0.9712 0.7341
0.1767 0.2046 0.7340
0.3676 0.9721 0.1070
0.7769 0.5713 0.7341
0.7267 0.7536 0.1071
0.5721 0.2855 0.8436
0.5115 0.7552 0.2527
0.9751 0.9870 0.9480
0.1663 0.5827 0.7349